Entry 1:
This record from the Alexandria database describes an optimized crystal structure of Ac2Sm3Au2. The functional is PBE.

Geometry as CIF:
```
data_Ac2Sm3Au2
_space_group_name_H-M_alt 'C 1 2/m 1'
_space_group_IT_number 12
_space_group_name_Hall '-C 2y'
_cell_length_a 13.094
_cell_length_b 3.973
_cell_length_c 9.665
_cell_angle_alpha 90.00
_cell_angle_beta 116.19
_cell_angle_gamma 90.00
loop_
_atom_site_label
_atom_site_type_symbol
_atom_site_fract_x
_atom_site_fract_y
_atom_site_fract_z
Ac1 Ac 0.153 0.000 0.308
Sm1 Sm 0.000 0.500 0.500
Sm2 Sm 0.118 0.500 0.946
Au1 Au 0.158 0.000 0.735
```

Computed properties:
- uncorrected energy (eV/atom) = -4.599

=====

Entry 2:
This record from the Alexandria database describes an optimized crystal structure of AcSm3Au2. The functional is PBE.

Geometry as CIF:
```
data_AcSm3Au2
_space_group_name_H-M_alt 'C 1 2/m 1'
_space_group_IT_number 12
_space_group_name_Hall '-C 2y'
_cell_length_a 16.944
_cell_length_b 5.328
_cell_length_c 8.960
_cell_angle_alpha 90.00
_cell_angle_beta 116.98
_cell_angle_gamma 90.00
loop_
_atom_site_label
_atom_site_type_symbol
_atom_site_fract_x
_atom_site_fract_y
_atom_site_fract_z
Ac1 Ac 0.133 0.000 0.201
Sm1 Sm 0.063 0.000 0.723
Sm2 Sm 0.121 0.500 0.508
Sm3 Sm 0.198 0.500 0.001
Au1 Au 0.006 0.500 0.846
Au2 Au 0.216 0.000 0.621
```

Computed properties:
- uncorrected energy (eV/atom) = -4.612

=====

Entry 3:
This record from the Alexandria database describes an optimized crystal structure of AcSmAu2. The functional is PBE.

Geometry as CIF:
```
data_AcSmAu2
_space_group_name_H-M_alt 'R -3 m'
_space_group_IT_number 166
_space_group_name_Hall '-R 3 2"'
_cell_length_a 4.0097
_cell_length_b 4.0097
_cell_length_c 29.5806
_cell_angle_alpha 90.00
_cell_angle_beta 90.00
_cell_angle_gamma 120.00
loop_
_atom_site_label
_atom_site_type_symbol
_atom_site_fract_x
_atom_site_fract_y
_atom_site_fract_z
Ac1 Ac 0.0000 0.0000 0.0000
Sm1 Sm 0.0000 0.0000 0.5000
Au1 Au 0.0000 0.0000 0.1043
```

Computed properties:
- uncorrected energy (eV/atom) = -4.116

=====

Entry 4:
This record from the Alexandria database describes an optimized crystal structure of AcSmSnAu. The functional is PBE.

Geometry as CIF:
```
data_AcSmSnAu
_space_group_name_H-M_alt 'F -4 3 m'
_space_group_IT_number 216
_space_group_name_Hall 'F -4 2 3'
_cell_length_a 7.802
_cell_length_b 7.802
_cell_length_c 7.802
_cell_angle_alpha 90.00
_cell_angle_beta 90.00
_cell_angle_gamma 90.00
loop_
_atom_site_label
_atom_site_type_symbol
_atom_site_fract_x
_atom_site_fract_y
_atom_site_fract_z
Ac1 Ac 0.000 0.000 0.000
Sm1 Sm 0.000 0.000 0.500
Sn1 Sn 0.250 0.250 0.750
Au1 Au 0.250 0.250 0.250
```

Computed properties:
- uncorrected energy (eV/atom) = -4.694